Material: CaOsC
Method: DFT, PBE-GGA
State: optimized geometry

Summary:
Magnetic moment = 0.0 Bohr magnetons per cell
Calculated volume = 16.3 A^3/atom
Offset from the most stable computed form = 0 meV per atom
E_form = 0.114 eV per atom

a b c (Å): 3.4749 3.4749 4.6691
angles (deg): 90.00 90.00 120.00
Last column: nearest neighbours and their distance in Å.
Sites, in units of the cell vectors:
Ca  0.0000  0.0000  0.0000  6 C 3.06-3.09, 6 Os 3.07-3.08
Os  0.6667  0.3333  0.5016  3 C 2.01
C  0.3333  0.6667  0.5041  3 Os 2.01